Record 1
# GGA-PBE SrScSeBr2, optimized geometry
data_SrScSeBr2
_space_group_name_H-M_alt 'P 4/m m m'
_space_group_IT_number 123
_space_group_name_Hall '-P 4 2'
_cell_length_a 5.262
_cell_length_b 5.262
_cell_length_c 5.333
_cell_angle_alpha 90.00
_cell_angle_beta 90.00
_cell_angle_gamma 90.00
loop_
_atom_site_label
_atom_site_fract_x
_atom_site_fract_y
_atom_site_fract_z
_atom_site_occupancy
Sr1 0.000 0.000 0.000 1
Sc1 0.500 0.500 0.500 1
Se1 0.500 0.500 0.000 1
Br1 0.000 0.500 0.500 1
# **DOS(E_F)**: 2.9 states/eV/f.u.
# **Calculated total energy**: -4.44 eV per atom

***

Record 2
# GGA-PBE Lu2ZrPb, optimized geometry
data_Lu2ZrPb
_space_group_name_H-M_alt 'P 4/m m m'
_space_group_IT_number 123
_space_group_name_Hall '-P 4 2'
_cell_length_a 3.527
_cell_length_b 3.527
_cell_length_c 8.590
_cell_angle_alpha 90.00
_cell_angle_beta 90.00
_cell_angle_gamma 90.00
loop_
_atom_site_label
_atom_site_fract_x
_atom_site_fract_y
_atom_site_fract_z
_atom_site_occupancy
Lu1 0.000 0.000 0.247 1
Zr1 0.500 0.500 0.000 1
Pb1 0.500 0.500 0.500 1
# **DFT formation energy**: -0.66 eV/f.u.
# **DOS(E_F)**: 3.9 states/eV/f.u.
# **Calculated total energy**: -5.49 eV per atom

***

Record 3
# GGA-PBE KRe2Rh, optimized geometry
data_KRe2Rh
_space_group_name_H-M_alt 'C 1 m 1'
_space_group_IT_number 8
_cell_length_a 8.663
_cell_length_b 2.680
_cell_length_c 7.363
_cell_angle_alpha 90.00
_cell_angle_beta 92.63
_cell_angle_gamma 90.00
loop_
_space_group_symop_operation_xyz
'x,y,z'
'x,-y,z'
'x+1/2,y+1/2,z'
'x+1/2,-y+1/2,z'
loop_
_atom_site_label
_atom_site_fract_x
_atom_site_fract_y
_atom_site_fract_z
_atom_site_occupancy
K1 0.000 0.000 0.000 1
Re1 0.236 0.000 0.646 1
Re2 0.490 0.000 0.496 1
Rh1 0.262 0.500 0.330 1
# **DFT formation energy**: 3.30 eV/f.u.
# **DOS(E_F)**: 4.7 states/eV/f.u.
# **Calculated total energy**: -7.51 eV per atom

***

What is the calculated total energy in the first record? -4.44 eV per atom

***

Among the records above, which one has the highest DOS(E_F)? KRe2Rh

***

Which value of DOS(E_F) does entry 3 give? 4.7 states/eV/f.u.

***

Which of these has the lowest calculated total energy? KRe2Rh